The following is a DFT calculation (PBE) of a relaxed Y3AlRu crystal.

Output
- Spin magnetization: 0.0 μB per formula unit
- Energy relative to the elements: -0.020 eV/atom

Structure (CIF):
```
data_Y3AlRu
_space_group_name_H-M_alt 'P m -3 m'
_space_group_IT_number 221
_space_group_name_Hall '-P 4 2 3'
_cell_length_a 5.284
_cell_length_b 5.284
_cell_length_c 5.284
_cell_angle_alpha 90.00
_cell_angle_beta 90.00
_cell_angle_gamma 90.00
loop_
_atom_site_label
_atom_site_type_symbol
_atom_site_fract_x
_atom_site_fract_y
_atom_site_fract_z
Y1 Y 0.000 0.000 0.500
Al1 Al 0.500 0.500 0.500
Ru1 Ru 0.000 0.000 0.000
```

The following is a DFT calculation (PBE) of a relaxed Ca2CdSn3Rh4 crystal.

Output
- Spin magnetization: 0.0 μB per formula unit
- Energy relative to the elements: -0.550 eV/atom

Structure (CIF):
```
data_Ca2CdSn3Rh4
_space_group_name_H-M_alt 'P -4 m 2'
_space_group_IT_number 115
_cell_length_a 4.428
_cell_length_b 4.428
_cell_length_c 11.057
_cell_angle_alpha 90.00
_cell_angle_beta 90.00
_cell_angle_gamma 90.00
loop_
_space_group_symop_operation_xyz
'x,y,z'
'y,-x,-z'
'-x,-y,z'
'-y,x,-z'
'-x,y,z'
'-y,-x,-z'
'x,-y,z'
'y,x,-z'
loop_
_atom_site_label
_atom_site_type_symbol
_atom_site_fract_x
_atom_site_fract_y
_atom_site_fract_z
Ca1 Ca 0.000 0.500 0.246
Cd1 Cd 0.000 0.000 0.500
Sn1 Sn 0.000 0.500 0.873
Sn2 Sn 0.500 0.500 0.500
Rh1 Rh 0.000 0.000 0.000
Rh2 Rh 0.000 0.500 0.640
Rh3 Rh 0.500 0.500 0.000
```

The following is a DFT calculation (PBE) of a relaxed POs3Br crystal.

Output
- Spin magnetization: 2.0 μB per formula unit
- Energy: -6.59 eV per atom

Structure (CIF):
```
data_POs3Br
_space_group_name_H-M_alt 'P m -3 m'
_space_group_IT_number 221
_space_group_name_Hall '-P 4 2 3'
_cell_length_a 4.459
_cell_length_b 4.459
_cell_length_c 4.459
_cell_angle_alpha 90.00
_cell_angle_beta 90.00
_cell_angle_gamma 90.00
loop_
_atom_site_label
_atom_site_type_symbol
_atom_site_fract_x
_atom_site_fract_y
_atom_site_fract_z
P1 P 0.000 0.000 0.000
Os1 Os 0.000 0.000 0.500
Br1 Br 0.500 0.500 0.500
```

The following is a DFT calculation (PBE) of a relaxed Mg2CoReN4 crystal.

Output
- Spin magnetization: 2.0 μB per formula unit
- Energy: -7.33 eV per atom

Structure (CIF):
```
data_Mg2CoReN4
_space_group_name_H-M_alt 'I -4 2 m'
_space_group_IT_number 121
_space_group_name_Hall 'I -4 2'
_cell_length_a 4.623
_cell_length_b 4.623
_cell_length_c 9.305
_cell_angle_alpha 90.00
_cell_angle_beta 90.00
_cell_angle_gamma 90.00
loop_
_atom_site_label
_atom_site_type_symbol
_atom_site_fract_x
_atom_site_fract_y
_atom_site_fract_z
Mg1 Mg 0.000 0.500 0.250
Co1 Co 0.000 0.000 0.000
Re1 Re 0.000 0.000 0.500
N1 N 0.238 0.238 0.389
```

The following is a DFT calculation (PBE) of a relaxed Ce5PuPd crystal.

Output
- Spin magnetization: 0.0 μB per formula unit
- Energy relative to the elements: -0.119 eV/atom

Structure (CIF):
```
data_Ce5PuPd
_space_group_name_H-M_alt 'C 1 2/c 1'
_space_group_IT_number 15
_cell_length_a 9.815
_cell_length_b 7.393
_cell_length_c 10.666
_cell_angle_alpha 90.00
_cell_angle_beta 111.42
_cell_angle_gamma 90.00
loop_
_space_group_symop_operation_xyz
'x,y,z'
'-x,-y,-z'
'-x,y,-z+1/2'
'x,-y,z+1/2'
'x+1/2,y+1/2,z'
'-x+1/2,-y+1/2,-z'
'-x+1/2,y+1/2,-z+1/2'
'x+1/2,-y+1/2,z+1/2'
loop_
_atom_site_label
_atom_site_type_symbol
_atom_site_fract_x
_atom_site_fract_y
_atom_site_fract_z
Ce1 Ce 0.000 0.029 0.250
Ce2 Ce 0.106 0.303 0.550
Ce3 Ce 0.242 0.140 0.109
Pu1 Pu 0.000 0.000 0.000
Pd1 Pd 0.000 0.432 0.250
```

The following is a DFT calculation (PBE) of a relaxed BaMn2Mo crystal.

Output
- Spin magnetization: 5.9 μB per formula unit
- Energy relative to the elements: 0.915 eV/atom

Structure (CIF):
```
data_BaMn2Mo
_space_group_name_H-M_alt 'R -3 m'
_space_group_IT_number 166
_space_group_name_Hall '-R 3 2"'
_cell_length_a 3.1784
_cell_length_b 3.1784
_cell_length_c 28.6308
_cell_angle_alpha 90.00
_cell_angle_beta 90.00
_cell_angle_gamma 120.00
loop_
_atom_site_label
_atom_site_type_symbol
_atom_site_fract_x
_atom_site_fract_y
_atom_site_fract_z
Ba1 Ba 0.0000 0.0000 0.0000
Mn1 Mn 0.0000 0.0000 0.2304
Mo1 Mo 0.0000 0.0000 0.5000
```

The following is a DFT calculation (PBE) of a relaxed La2AlIn crystal.

Output
- Spin magnetization: 0.0 μB per formula unit
- Energy relative to the elements: -0.429 eV/atom

Structure (CIF):
```
data_La2AlIn
_space_group_name_H-M_alt 'I m m 2'
_space_group_IT_number 44
_cell_length_a 4.211
_cell_length_b 5.082
_cell_length_c 10.680
_cell_angle_alpha 90.00
_cell_angle_beta 90.00
_cell_angle_gamma 90.00
loop_
_space_group_symop_operation_xyz
'x,y,z'
'-x,-y,z'
'-x,y,z'
'x,-y,z'
'x+1/2,y+1/2,z+1/2'
'-x+1/2,-y+1/2,z+1/2'
'-x+1/2,y+1/2,z+1/2'
'x+1/2,-y+1/2,z+1/2'
loop_
_atom_site_label
_atom_site_type_symbol
_atom_site_fract_x
_atom_site_fract_y
_atom_site_fract_z
La1 La 0.000 0.000 0.000
La2 La 0.000 0.500 0.222
Al1 Al 0.000 0.500 0.770
In1 In 0.000 0.000 0.447
```

The following is a DFT calculation (PBE) of a relaxed HAuNO2 crystal.

Output
- Spin magnetization: 0.5 μB per formula unit
- Energy: -3.16 eV per atom

Structure (CIF):
```
data_HAuNO2
_space_group_name_H-M_alt 'P 4/m m m'
_space_group_IT_number 123
_space_group_name_Hall '-P 4 2'
_cell_length_a 4.248
_cell_length_b 4.248
_cell_length_c 3.775
_cell_angle_alpha 90.00
_cell_angle_beta 90.00
_cell_angle_gamma 90.00
loop_
_atom_site_label
_atom_site_type_symbol
_atom_site_fract_x
_atom_site_fract_y
_atom_site_fract_z
H1 H 0.000 0.000 0.000
Au1 Au 0.500 0.500 0.500
N1 N 0.500 0.500 0.000
O1 O 0.000 0.500 0.500
```

The following is a DFT calculation (PBE) of a relaxed Na2Cd16Hg crystal.

Output
- Spin magnetization: 0.0 μB per formula unit
- Energy relative to the elements: -0.032 eV/atom

Structure (CIF):
```
data_Na2Cd16Hg
_space_group_name_H-M_alt 'R 3 m'
_space_group_IT_number 160
_space_group_name_Hall 'R 3 -2"'
_cell_length_a 10.2890
_cell_length_b 10.2890
_cell_length_c 15.0897
_cell_angle_alpha 90.00
_cell_angle_beta 90.00
_cell_angle_gamma 120.00
loop_
_atom_site_label
_atom_site_type_symbol
_atom_site_fract_x
_atom_site_fract_y
_atom_site_fract_z
Na1 Na 0.0000 0.0000 0.0000
Na2 Na 0.0000 0.0000 0.3269
Cd1 Cd 0.0000 0.0000 0.7526
Cd2 Cd 0.0309 0.3630 0.3301
Cd3 Cd 0.1682 0.3363 0.1445
Cd4 Cd 0.1768 0.3537 0.4998
Cd5 Cd 0.1785 0.3571 0.8470
Hg1 Hg 0.0000 0.0000 0.5502
```

The following is a DFT calculation (PBE) of a relaxed SrAg2SeS crystal.

Output
- Spin magnetization: 0.0 μB per formula unit
- Energy: -3.81 eV per atom

Structure (CIF):
```
data_SrAg2SeS
_space_group_name_H-M_alt 'I 4 c m'
_space_group_IT_number 108
_space_group_name_Hall 'I 4 -2c'
_cell_length_a 6.122
_cell_length_b 6.122
_cell_length_c 13.961
_cell_angle_alpha 90.00
_cell_angle_beta 90.00
_cell_angle_gamma 90.00
loop_
_atom_site_label
_atom_site_type_symbol
_atom_site_fract_x
_atom_site_fract_y
_atom_site_fract_z
Sr1 Sr 0.000 0.000 0.000
Ag1 Ag 0.166 0.334 0.189
Se1 Se 0.000 0.000 0.283
S1 S 0.000 0.500 0.031
```

The following is a DFT calculation (PBE) of a relaxed YCu2Bi2Se2O4 crystal.

Output
- Spin magnetization: 0.0 μB per formula unit
- Energy: -5.87 eV per atom

Structure (CIF):
```
data_YCu2Bi2Se2O4
_space_group_name_H-M_alt 'I 4/m m m'
_space_group_IT_number 139
_space_group_name_Hall '-I 4 2'
_cell_length_a 3.901
_cell_length_b 3.901
_cell_length_c 25.134
_cell_angle_alpha 90.00
_cell_angle_beta 90.00
_cell_angle_gamma 90.00
loop_
_atom_site_label
_atom_site_type_symbol
_atom_site_fract_x
_atom_site_fract_y
_atom_site_fract_z
Y1 Y 0.000 0.000 0.000
Cu1 Cu 0.000 0.500 0.250
Bi1 Bi 0.000 0.000 0.400
Se1 Se 0.000 0.000 0.189
O1 O 0.000 0.500 0.055
```